Entry from Alexandria via LeMat-Bulk: Pa2CoRu after structural relaxation (PBE-GGA).

a = 3.102 Å, b = 3.102 Å, c = 9.447 Å
α = 80.55°, β = 80.55°, γ = 60.00°
Positions (direct):
Pa: 0.909 0.909 0.272
Ru: 0.000 0.000 0.000
Pa: 0.091 0.091 0.728
Co: 0.500 0.500 0.500

* symmetry: R-3m (166)
* Fermi-level density of states: 1.370 states/eV per atom
* formation energy from the elements: 0.21 eV/atom